No. 1
The following is a DFT calculation (PBE) of a geometry-optimized BaMnW3 structure.

abc: 4.713 4.713 4.713
angles: 90.00 90.00 90.00
Atoms (fractional coordinates):
1 Ba 0.000 0.000 0.000
2 Mn 0.500 0.500 0.500
3 W 0.000 0.500 0.500
4 W 0.500 0.000 0.500
5 W 0.500 0.500 0.000

## Properties
* relative energy among the computed polymorphs: 0.00 eV/f.u.

No. 2
The following is a DFT calculation (PBE) of a geometry-optimized BaYMn2 structure.

abc: 4.619 6.886 6.886
angles: 31.58 90.00 90.00
Atoms (fractional coordinates):
1 Ba 0.000 0.000 0.000
2 Y 0.500 0.291 0.291
3 Mn 0.000 0.722 0.722
4 Mn 0.500 0.619 0.619

## Properties
* relative energy among the computed polymorphs: 0.28 eV/f.u.

No. 3
The following is a DFT calculation (PBE) of a geometry-optimized BaYMn2 structure.

abc: 5.437 5.437 3.633
angles: 90.00 90.00 90.00
Atoms (fractional coordinates):
1 Ba 0.000 0.000 0.000
2 Y 0.500 0.500 0.000
3 Mn 0.000 0.500 0.500
4 Mn 0.500 0.000 0.500

## Properties
* relative energy among the computed polymorphs: 0.54 eV/f.u.

No. 4
The following is a DFT calculation (PBE) of a geometry-optimized BaYMn structure.

abc: 5.318 5.318 5.318
angles: 60.00 60.00 60.00
Atoms (fractional coordinates):
1 Ba 0.000 0.000 0.000
2 Y 0.500 0.500 0.500
3 Mn 0.250 0.250 0.250

## Properties
* relative energy among the computed polymorphs: 0.97 eV/f.u.

No. 5
The following is a DFT calculation (PBE) of a geometry-optimized BaYMn2 structure.

abc: 6.992 6.992 6.992
angles: 149.04 139.23 52.06
Atoms (fractional coordinates):
1 Ba 0.000 0.000 0.000
2 Y 0.733 0.233 0.500
3 Mn 0.271 0.771 0.500
4 Mn 0.373 0.373 0.000

## Properties
* relative energy among the computed polymorphs: 0.17 eV/f.u.

No. 6
The following is a DFT calculation (PBE) of a geometry-optimized BaYMn2 structure.

abc: 5.243 5.243 7.042
angles: 101.55 101.55 38.98
Atoms (fractional coordinates):
1 Ba 0.000 0.000 0.000
2 Y 0.500 0.500 0.500
3 Mn 0.246 0.246 0.650
4 Mn 0.754 0.754 0.350

## Properties
* relative energy among the computed polymorphs: 0.73 eV/f.u.

No. 7
The following is a DFT calculation (PBE) of a geometry-optimized Ba4YMn structure.

abc: 7.392 7.392 7.392
angles: 60.00 60.00 60.00
Atoms (fractional coordinates):
1 Ba 0.125 0.125 0.125
2 Ba 0.125 0.125 0.625
3 Ba 0.125 0.625 0.125
4 Ba 0.625 0.125 0.125
5 Y 0.500 0.500 0.500
6 Mn 0.750 0.750 0.750

No. 8
The following is a DFT calculation (PBE) of a geometry-optimized BaYMn2 structure.

abc: 10.464 10.464 10.464
angles: 19.56 19.56 19.56
Atoms (fractional coordinates):
1 Ba 0.000 0.000 0.000
2 Y 0.781 0.781 0.781
3 Mn 0.245 0.245 0.245
4 Mn 0.519 0.519 0.519

## Properties
* relative energy among the computed polymorphs: 1.30 eV/f.u.

No. 9
The following is a DFT calculation (PBE) of a geometry-optimized BaYMn2 structure.

abc: 6.738 6.738 6.738
angles: 103.96 103.96 121.17
Atoms (fractional coordinates):
1 Ba 0.000 0.000 0.000
2 Ba 0.750 0.250 0.500
3 Y 0.250 0.750 0.500
4 Y 0.500 0.500 0.000
5 Mn 0.146 0.625 0.021
6 Mn 0.375 0.396 0.521
7 Mn 0.604 0.125 0.979
8 Mn 0.875 0.854 0.479

## Properties
* relative energy among the computed polymorphs: 1.90 eV/f.u.

No. 10
The following is a DFT calculation (PBE) of a geometry-optimized BaYMn2 structure.

abc: 5.292 5.292 5.292
angles: 60.00 60.00 60.00
Atoms (fractional coordinates):
1 Ba 0.000 0.000 0.000
2 Y 0.250 0.250 0.250
3 Mn 0.500 0.500 0.500
4 Mn 0.750 0.750 0.750

## Properties
* relative energy among the computed polymorphs: 1.18 eV/f.u.

No. 11
The following is a DFT calculation (PBE) of a geometry-optimized BaYMn2 structure.

abc: 5.361 5.361 5.361
angles: 60.00 60.00 60.00
Atoms (fractional coordinates):
1 Ba 0.000 0.000 0.000
2 Y 0.500 0.500 0.500
3 Mn 0.250 0.250 0.250
4 Mn 0.750 0.750 0.750

## Properties
* relative energy among the computed polymorphs: 0.61 eV/f.u.

No. 12
The following is a DFT calculation (PBE) of a geometry-optimized BaYMn structure.

abc: 7.465 7.465 7.465
angles: 150.63 150.63 42.01
Atoms (fractional coordinates):
1 Ba 0.000 0.000 0.000
2 Y 0.730 0.730 0.000
3 Mn 0.336 0.336 0.000

## Properties
* relative energy among the computed polymorphs: 0.00 eV/f.u.

No. 13
The following is a DFT calculation (PBE) of a geometry-optimized BaYMn structure.

abc: 3.746 3.746 8.164
angles: 90.00 90.00 120.00
Atoms (fractional coordinates):
1 Ba 0.000 0.000 0.000
2 Y 0.333 0.667 0.572
3 Mn 0.667 0.333 0.316

## Properties
* relative energy among the computed polymorphs: 0.54 eV/f.u.

No. 14
The following is a DFT calculation (PBE) of a geometry-optimized BaY4Mn structure.

abc: 6.683 6.683 6.683
angles: 60.00 60.00 60.00
Atoms (fractional coordinates):
1 Ba 0.000 0.000 0.000
2 Y 0.377 0.377 0.377
3 Y 0.377 0.377 0.870
4 Y 0.377 0.870 0.377
5 Y 0.870 0.377 0.377
6 Mn 0.750 0.750 0.750

No. 15
The following is a DFT calculation (PBE) of a geometry-optimized BaYMn structure.

abc: 5.247 5.247 5.247
angles: 60.00 60.00 60.00
Atoms (fractional coordinates):
1 Ba 0.000 0.000 0.000
2 Y 0.750 0.750 0.750
3 Mn 0.250 0.250 0.250

## Properties
* relative energy among the computed polymorphs: 2.49 eV/f.u.

No. 16
The following is a DFT calculation (PBE) of a geometry-optimized BaYMn2 structure.

abc: 5.928 5.928 5.928
angles: 134.35 134.35 66.54
Atoms (fractional coordinates):
1 Ba 0.000 0.000 0.000
2 Y 0.750 0.250 0.500
3 Mn 0.250 0.750 0.500
4 Mn 0.500 0.500 0.000

## Properties
* relative energy among the computed polymorphs: 1.08 eV/f.u.

No. 17
The following is a DFT calculation (PBE) of a geometry-optimized BaYMn2 structure.

abc: 10.186 10.186 10.186
angles: 20.29 20.29 20.29
Atoms (fractional coordinates):
1 Ba 0.000 0.000 0.000
2 Y 0.500 0.500 0.500
3 Mn 0.243 0.243 0.243
4 Mn 0.757 0.757 0.757

## Properties
* relative energy among the computed polymorphs: 1.20 eV/f.u.

No. 18
The following is a DFT calculation (PBE) of a geometry-optimized BaYMn2 structure.

abc: 3.836 3.836 7.585
angles: 90.00 90.00 90.00
Atoms (fractional coordinates):
1 Ba 0.000 0.000 0.000
2 Y 0.000 0.000 0.500
3 Mn 0.500 0.500 0.321
4 Mn 0.500 0.500 0.679

## Properties
* relative energy among the computed polymorphs: 0.00 eV/f.u.

No. 19
The following is a DFT calculation (PBE) of a geometry-optimized BaYMn2 structure.

abc: 3.592 3.592 8.696
angles: 90.00 90.00 90.00
Atoms (fractional coordinates):
1 Ba 0.000 0.000 0.000
2 Y 0.500 0.500 0.612
3 Mn 0.000 0.000 0.411
4 Mn 0.500 0.500 0.279

## Properties
* relative energy among the computed polymorphs: 0.21 eV/f.u.

No. 20
The following is a DFT calculation (PBE) of a geometry-optimized BaMnZn2 structure.

abc: 4.454 4.454 6.450
angles: 110.33 110.33 60.04
Atoms (fractional coordinates):
1 Ba 0.000 0.000 0.000
2 Mn 0.811 0.811 0.433
3 Zn 0.185 0.185 0.555
4 Zn 0.494 0.494 0.481

| no. | ΔE_f (eV/atom) | total energy (eV/atom) |
| --- | --- | --- |
| 1 | 1.518 | -8.47 |
| 2 | 0.498 | -6.18 |
| 3 | 0.562 | -6.12 |
| 4 | 0.700 | -5.15 |
| 5 | 0.470 | -6.21 |
| 6 | 0.609 | -6.07 |
| 7 | 0.799 | -3.09 |
| 8 | 0.753 | -5.93 |
| 9 | 0.903 | -5.78 |
| 10 | 0.723 | -5.96 |
| 11 | 0.581 | -6.10 |
| 12 | 0.377 | -5.47 |
| 13 | 0.557 | -5.30 |
| 14 | 0.603 | -5.55 |
| 15 | 1.207 | -4.64 |
| 16 | 0.698 | -5.98 |
| 17 | 0.727 | -5.95 |
| 18 | 0.428 | -6.25 |
| 19 | 0.482 | -6.20 |
| 20 | 0.034 | -3.38 |